Entry 1:
Ag2PbBr after structural relaxation, computed with GGA-PBE.

a = 3.426 Å, b = 5.299 Å, c = 5.345 Å
α = 90.00°, β = 90.00°, γ = 90.00°
Sites, in units of the cell vectors:
Pb 0.000 0.500 0.500
Ag 0.000 0.000 0.000
Ag 0.500 0.500 0.000
Br 0.500 0.000 0.500

## Properties
E_form (uncorrected) ... 0.059 eV/atom
SG ... Pmmm, No. 47
Energy relative to the lowest polymorph listed for this composition ... 0.139 eV/atom

=====

Entry 2:
AgPb3Br7 after structural relaxation, computed with GGA-PBE.

a = 9.093 Å, b = 9.093 Å, c = 9.807 Å
α = 90.00°, β = 90.00°, γ = 106.58°
Sites, in units of the cell vectors:
Br 0.083 0.917 0.750
Br 0.064 0.338 0.952
Br 0.352 0.648 0.750
Br 0.648 0.352 0.250
Br 0.664 0.902 0.957
Br 0.375 0.625 0.250
Br 0.662 0.936 0.548
Br 0.625 0.375 0.750
Br 0.098 0.336 0.543
Br 0.336 0.098 0.457
Br 0.338 0.064 0.048
Br 0.902 0.664 0.043
Br 0.917 0.083 0.250
Br 0.936 0.662 0.452
Ag 0.979 0.979 0.500
Ag 0.021 0.021 0.000
Pb 0.443 0.996 0.764
Pb 0.996 0.443 0.236
Pb 0.433 0.433 0.500
Pb 0.557 0.004 0.264
Pb 0.567 0.567 0.000
Pb 0.004 0.557 0.736

## Properties
E_form (uncorrected) ... -0.765 eV/atom
SG ... C222_1, No. 20